# 1
AcCeSm2 | PBE | relaxed

Lattice parameters (Å, degrees): 5.1843 5.2245 5.2245 90.00 90.00 90.00
Sites, in units of the cell vectors:
Ce (0.5000, 0.5000, 0.5000)
Sm (0.0000, 0.5000, 0.0000)
Sm (0.0000, 0.0000, 0.5000)
Ac (0.5000, 0.0000, 0.0000)

Spin magnetization: 0.89 μB per cell
Formation enthalpy at 0 K: 0.1074 eV/atom
Crystal system: tetragonal
Energy relative to the lowest polymorph listed for this composition: 0.007 eV/atom
Theoretical density: 7.8 g/cm³
Space-group type: P4/mmm (123)

---

# 2
Ac14CeSm | PBE | relaxed

Lattice parameters (Å, degrees): 7.8875 7.8875 11.2182 90.00 90.00 90.00
Sites, in units of the cell vectors:
Ac (0.6260, 0.3740, 0.2447)
Ac (0.1238, 0.3737, 0.2431)
Ac (0.1238, 0.8762, 0.7584)
Ac (0.6260, 0.3740, 0.7553)
Ac (0.3740, 0.1238, 0.5000)
Ac (0.6263, 0.8762, 0.2431)
Ac (0.8754, 0.1246, 0.5000)
Ac (0.1238, 0.3737, 0.7569)
Ac (0.8762, 0.6260, 0.5000)
Ac (0.8735, 0.6235, 0.0000)
Ac (0.6263, 0.8762, 0.7569)
Ac (0.3765, 0.1265, 0.0000)
Ac (0.1238, 0.8762, 0.2416)
Ac (0.3748, 0.6252, 0.5000)
Sm (0.3754, 0.6246, 0.0000)
Ce (0.8747, 0.1253, 0.0000)

Spin magnetization: 2.08 μB per cell
Formation enthalpy at 0 K: 0.0476 eV/atom
Crystal system: orthorhombic
Theoretical density: 8.3 g/cm³
Space-group type: Amm2 (38)